Record 1
{
  "formula": "SrCrTe",
  "functional": "PBE",
  "state": "optimized geometry",
  "raw_formation_energy_ev_per_atom": -0.366,
  "de_polymorph_mev_per_atom": 0,
  "sg": "P-6m2, No. 187",
  "lattice_angstrom": [[4.706, 0.000, 0.000], [-2.353, 4.076, 0.000], [0.000, 0.000, 4.547]],
  "species": ["Sr", "Cr", "Te"],
  "fractional_positions": [[0.000, 0.000, 0.000], [0.333, 0.667, 0.500], [0.667, 0.333, 0.500]]
}

Record 2
{
  "formula": "Dy9Y3Th2",
  "functional": "PBE",
  "state": "optimized geometry",
  "sg": "P1, No. 1",
  "formation_enthalpy_0k_ev_per_fu": 1.9,
  "lattice_angstrom": [[5.594, 0.000, 0.000], [2.790, 9.248, 0.000], [2.794, 3.653, 8.855]],
  "species": ["Dy", "Dy", "Dy", "Dy", "Dy", "Dy", "Dy", "Dy", "Dy", "Y", "Y", "Y", "Th", "Th"],
  "fractional_positions": [[0.000, 0.000, 0.000], [0.004, 0.675, 0.315], [0.180, 0.322, 0.319], [0.227, 0.611, 0.935], [0.550, 0.125, 0.775], [0.582, 0.414, 0.423], [0.764, 0.755, 0.717], [0.783, 0.368, 0.067], [0.967, 0.391, 0.677], [0.175, 0.004, 0.646], [0.583, 0.753, 0.079], [0.789, 0.041, 0.380], [0.378, 0.115, 0.128], [0.384, 0.751, 0.479]]
}

Record 3
{
  "formula": "Al2Hg",
  "functional": "PBE",
  "state": "optimized geometry",
  "de_polymorph_mev_per_atom": 164,
  "sg": "P6/mmm, No. 191",
  "formation_enthalpy_0k_ev_per_fu": 0.8,
  "lattice_angstrom": [[4.536, 0.000, 0.000], [-2.268, 3.928, 0.000], [0.000, 0.000, 3.607]],
  "species": ["Al", "Al", "Hg"],
  "fractional_positions": [[0.333, 0.667, 0.000], [0.667, 0.333, 0.000], [0.000, 0.000, 0.500]]
}

Record 4
{
  "formula": "SrNiW2",
  "functional": "PBE",
  "state": "optimized geometry",
  "de_polymorph_mev_per_atom": 420,
  "sg": "P2/m, No. 10",
  "formation_enthalpy_0k_ev_per_fu": 4.0,
  "lattice_angstrom": [[2.915, 0.000, 0.000], [0.000, 5.257, 0.000], [-0.452, 0.000, 4.905]],
  "species": ["Sr", "Ni", "W", "W"],
  "fractional_positions": [[0.000, 0.000, 0.000], [0.500, 0.000, 0.500], [0.362, 0.500, 0.737], [0.638, 0.500, 0.263]]
}

Record 5
{
  "formula": "Sm2Ga2CuPd5",
  "functional": "PBE",
  "state": "optimized geometry",
  "sg": "P4/mbm, No. 127",
  "formation_enthalpy_0k_ev_per_fu": -6.1,
  "lattice_angstrom": [[10.187, 0.000, 0.000], [0.000, 10.187, 0.000], [0.000, 0.000, 3.488]],
  "species": ["Sm", "Sm", "Sm", "Sm", "Ga", "Ga", "Ga", "Ga", "Cu", "Cu", "Pd", "Pd", "Pd", "Pd", "Pd", "Pd", "Pd", "Pd", "Pd", "Pd"],
  "fractional_positions": [[0.175, 0.325, 0.000], [0.325, 0.825, 0.000], [0.675, 0.175, 0.000], [0.825, 0.675, 0.000], [0.127, 0.627, 0.000], [0.373, 0.127, 0.000], [0.627, 0.873, 0.000], [0.873, 0.373, 0.000], [0.000, 0.000, 0.000], [0.500, 0.500, 0.000], [0.000, 0.500, 0.500], [0.056, 0.804, 0.500], [0.196, 0.056, 0.500], [0.304, 0.556, 0.500], [0.444, 0.304, 0.500], [0.500, 0.000, 0.500], [0.556, 0.696, 0.500], [0.696, 0.444, 0.500], [0.804, 0.944, 0.500], [0.944, 0.196, 0.500]]
}

Record 6
{
  "formula": "La6GeP2Br3",
  "functional": "PBE",
  "state": "optimized geometry",
  "raw_formation_energy_ev_per_atom": -1.478,
  "sg": "C2/m, No. 12",
  "lattice_angstrom": [[9.646, -2.151, 0.000], [9.646, 2.151, 0.000], [-2.436, 0.000, 8.564]],
  "species": ["La", "La", "La", "La", "La", "La", "Ge", "P", "P", "Br", "Br", "Br"],
  "fractional_positions": [[0.011, 0.011, 0.236], [0.324, 0.324, 0.440], [0.339, 0.339, 0.889], [0.661, 0.661, 0.111], [0.676, 0.676, 0.560], [0.989, 0.989, 0.764], [0.500, 0.500, 0.000], [0.168, 0.168, 0.335], [0.832, 0.832, 0.665], [0.165, 0.165, 0.832], [0.500, 0.500, 0.500], [0.835, 0.835, 0.168]]
}

Record 7
{
  "formula": "TmTl2TcO6",
  "functional": "PBE",
  "state": "optimized geometry",
  "raw_formation_energy_ev_per_atom": -1.541,
  "sg": "P-3m1, No. 164",
  "lattice_angstrom": [[6.464, 0.000, 0.000], [-3.232, 5.598, 0.000], [0.000, 0.000, 5.699]],
  "species": ["Tm", "Tl", "Tl", "Tc", "O", "O", "O", "O", "O", "O"],
  "fractional_positions": [[0.000, 0.000, 0.000], [0.333, 0.667, 0.477], [0.667, 0.333, 0.523], [0.000, 0.000, 0.500], [0.135, 0.270, 0.707], [0.135, 0.865, 0.707], [0.270, 0.135, 0.293], [0.730, 0.865, 0.707], [0.865, 0.135, 0.293], [0.865, 0.730, 0.293]]
}

Record 8
{
  "formula": "HfBeSb2As",
  "functional": "PBE",
  "state": "optimized geometry",
  "raw_formation_energy_ev_per_atom": 0.770,
  "de_polymorph_mev_per_atom": 322,
  "sg": "P4/mmm, No. 123",
  "lattice_angstrom": [[5.518, 0.000, 0.000], [0.000, 5.518, 0.000], [0.000, 0.000, 5.058]],
  "species": ["Hf", "Be", "Sb", "Sb", "As"],
  "fractional_positions": [[0.000, 0.000, 0.000], [0.500, 0.500, 0.500], [0.000, 0.500, 0.000], [0.500, 0.000, 0.000], [0.000, 0.000, 0.500]]
}